Version i
Density functional theory data (PBE-GGA) for KLaBi2 after structural relaxation.

a b c (Å): 4.393 4.393 7.755
angles (deg): 90.00 90.00 90.00
Space group P4/mmm (No. 123)
Unique sites:
K1 0.000 0.000 0.000 (multiplicity 1)
La1 0.000 0.000 0.500 (multiplicity 1)
Bi1 0.500 0.500 0.299 (multiplicity 2)

* magnetization: 0.00 Bohr magnetons per cell

Version ii
Density functional theory data (PBE-GGA) for KLaBi2 after structural relaxation.

a b c (Å): 5.0885 5.0885 22.6029
angles (deg): 90.00 90.00 120.00
Space group R-3m (No. 166, hexagonal axes)
Unique sites:
K1 0.0000 0.0000 0.0000 (multiplicity 3)
La1 0.0000 0.0000 0.5000 (multiplicity 3)
Bi1 0.0000 0.0000 0.2319 (multiplicity 6)

* magnetization: 0.00 Bohr magnetons per cell

Short version: version i is the most stable of them.

Version i
Density functional theory data (PBE-GGA) for KLaBi2 after structural relaxation.

a b c (Å): 8.216 8.216 8.216
angles (deg): 90.00 90.00 90.00
Space group Fm-3m (No. 225)
Unique sites:
K1 0.000 0.000 0.000 (multiplicity 4)
La1 0.000 0.000 0.500 (multiplicity 4)
Bi1 0.250 0.250 0.250 (multiplicity 8)

* magnetization: 0.00 Bohr magnetons per cell

Version ii
Density functional theory data (PBE-GGA) for KLaBi2 after structural relaxation.

a b c (Å): 5.431 5.431 4.588
angles (deg): 90.00 90.00 90.00
Space group P4/mmm (No. 123)
Unique sites:
K1 0.000 0.000 0.000 (multiplicity 1)
La1 0.500 0.500 0.000 (multiplicity 1)
Bi1 0.000 0.500 0.500 (multiplicity 2)

* magnetization: 0.00 Bohr magnetons per cell

Version iii
Density functional theory data (PBE-GGA) for KLaBi2 after structural relaxation.

a b c (Å): 9.126 9.126 7.094
angles (deg): 90.00 90.00 90.00
Space group I-42d (No. 122)
Unique sites:
K1 0.000 0.000 0.000 (multiplicity 4)
La1 0.000 0.000 0.500 (multiplicity 4)
Bi1 0.239 0.250 0.625 (multiplicity 8)

* magnetization: 0.00 Bohr magnetons per cell

Short version: version ii is the most stable of them.

Version i
Density functional theory data (PBE-GGA) for KLa2Bi2 after structural relaxation.

a b c (Å): 9.245 9.245 4.260
angles (deg): 90.00 90.00 90.00
Space group P4/mbm (No. 127)
Unique sites:
K1 0.000 0.000 0.000 (multiplicity 2)
La1 0.141 0.359 0.500 (multiplicity 4)
Bi1 0.155 0.655 0.000 (multiplicity 4)

* magnetization: 1.20 Bohr magnetons per cell

Version ii
Density functional theory data (PBE-GGA) for KLa2Bi2 after structural relaxation.

a b c (Å): 5.424 5.424 15.460
angles (deg): 90.00 90.00 90.00
Space group I4/mmm (No. 139)
Unique sites:
K1 0.000 0.000 0.000 (multiplicity 2)
La1 0.000 0.500 0.250 (multiplicity 4)
Bi1 0.000 0.000 0.372 (multiplicity 4)

* magnetization: 0.71 Bohr magnetons per cell

Short version: version i is the most stable of them.

Version i
Density functional theory data (PBE-GGA) for KLiBi after structural relaxation.

a b c (Å): 6.303 6.918 8.539
angles (deg): 90.00 90.00 90.00
Space group Imma (No. 74)
Unique sites:
K1 0.000 0.250 0.128 (multiplicity 4)
Li1 0.250 0.250 0.750 (multiplicity 4)
Bi1 0.000 0.000 0.500 (multiplicity 4)

* magnetization: 0.00 Bohr magnetons per cell

Version ii
Density functional theory data (PBE-GGA) for KLiBi after structural relaxation.

a b c (Å): 6.823 9.758 12.198
angles (deg): 90.00 90.00 90.00
Space group Cmce (No. 64)
Unique sites:
K1 0.000 0.179 0.023 (multiplicity 8)
Li1 0.000 0.088 0.288 (multiplicity 8)
Bi1 0.250 0.155 0.750 (multiplicity 8)

* magnetization: 0.00 Bohr magnetons per cell

Version iii
Density functional theory data (PBE-GGA) for KLiBi after structural relaxation.

a b c (Å): 4.028 4.028 12.333
angles (deg): 90.00 90.00 90.00
Space group I4mm (No. 107)
Unique sites:
K1 0.000 0.000 0.000 (multiplicity 2)
Li1 0.000 0.000 0.730 (multiplicity 2)
Bi1 0.000 0.000 0.297 (multiplicity 2)

* magnetization: 0.00 Bohr magnetons per cell

Short version: version i is the most stable of them.

Version i
Density functional theory data (PBE-GGA) for KLiBi after structural relaxation.

a b c (Å): 5.3115 5.3115 3.8393
angles (deg): 90.00 90.00 120.00
Space group P-6m2 (No. 187)
Unique sites:
K1 0.0000 0.0000 0.0000 (multiplicity 1)
Li1 0.3333 0.6667 0.5000 (multiplicity 1)
Bi1 0.6667 0.3333 0.5000 (multiplicity 1)

* magnetization: 0.00 Bohr magnetons per cell

Version ii
Density functional theory data (PBE-GGA) for KLiBi after structural relaxation.

a b c (Å): 8.271 4.807 11.972
angles (deg): 90.00 103.47 90.00
Space group C2/m (No. 12)
Unique sites:
K1 0.228 0.000 0.175 (multiplicity 4)
Li1 0.158 0.500 0.473 (multiplicity 4)
Bi1 0.041 0.000 0.629 (multiplicity 4)

* magnetization: 0.00 Bohr magnetons per cell

Short version: version i is the most stable of them.

Version i
Density functional theory data (PBE-GGA) for K2Li2Bi after structural relaxation.

a b c (Å): 7.642 7.642 5.947
angles (deg): 90.00 90.00 90.00
Space group P4/mbm (No. 127)
Unique sites:
K1 0.196 0.304 0.000 (multiplicity 4)
Li1 0.158 0.658 0.500 (multiplicity 4)
Bi1 0.000 0.000 0.500 (multiplicity 2)

* magnetization: 1.72 Bohr magnetons per cell

Version ii
Density functional theory data (PBE-GGA) for K2Li2Bi after structural relaxation.

a b c (Å): 4.8459 4.8459 30.8377
angles (deg): 90.00 90.00 120.00
Space group R-3m (No. 166, hexagonal axes)
Unique sites:
K1 0.0000 0.0000 0.0702 (multiplicity 6)
Li1 0.0000 0.0000 0.1804 (multiplicity 6)
Bi1 0.0000 0.0000 0.5000 (multiplicity 3)

* magnetization: 0.00 Bohr magnetons per cell

Short version: version ii is the most stable of them.

Version i
Density functional theory data (PBE-GGA) for K2MgBi after structural relaxation.

a b c (Å): 8.442 8.442 8.442
angles (deg): 90.00 90.00 90.00
Space group Fm-3m (No. 225)
Unique sites:
K1 0.250 0.250 0.250 (multiplicity 8)
Mg1 0.000 0.000 0.000 (multiplicity 4)
Bi1 0.000 0.000 0.500 (multiplicity 4)

* magnetization: 0.00 Bohr magnetons per cell

Version ii
Density functional theory data (PBE-GGA) for K2MgBi after structural relaxation.

a b c (Å): 4.968 4.968 25.042
angles (deg): 90.00 90.00 90.00
Space group I-42d (No. 122)
Unique sites:
K1 0.243 0.250 0.125 (multiplicity 8)
Mg1 0.000 0.000 0.500 (multiplicity 4)
Bi1 0.000 0.000 0.000 (multiplicity 4)

* magnetization: 0.00 Bohr magnetons per cell

Short version: version i is the most stable of them.

Version i
Density functional theory data (PBE-GGA) for K3MgBi after structural relaxation.

a b c (Å): 13.858 8.756 7.889
angles (deg): 90.00 90.00 90.00
Space group Ima2 (No. 46)
Unique sites:
K1 0.009 0.249 0.000 (multiplicity 8)
K2 0.250 0.096 0.252 (multiplicity 4)
Mg1 0.250 0.750 0.001 (multiplicity 4)
Bi1 0.250 0.508 0.251 (multiplicity 4)

* magnetization: 0.00 Bohr magnetons per cell

Version ii
Density functional theory data (PBE-GGA) for K3MgBi after structural relaxation.

a b c (Å): 6.885 6.885 6.885
angles (deg): 90.00 90.00 90.00
Space group Pm-3m (No. 221)
Unique sites:
K1 0.000 0.000 0.500 (multiplicity 3)
Mg1 0.500 0.500 0.500 (multiplicity 1)
Bi1 0.000 0.000 0.000 (multiplicity 1)

* magnetization: 0.00 Bohr magnetons per cell

Short version: version i is the most stable of them.

Version i
Density functional theory data (PBE-GGA) for KMg3Bi after structural relaxation.

a b c (Å): 5.799 5.799 5.799
angles (deg): 90.00 90.00 90.00
Space group Pm-3m (No. 221)
Unique sites:
K1 0.000 0.000 0.000 (multiplicity 1)
Mg1 0.000 0.000 0.500 (multiplicity 3)
Bi1 0.500 0.500 0.500 (multiplicity 1)

* magnetization: 0.00 Bohr magnetons per cell

Version ii
Density functional theory data (PBE-GGA) for KMg3Bi after structural relaxation.

a b c (Å): 5.887 5.887 5.887
angles (deg): 90.00 90.00 90.00
Space group Pm-3m (No. 221)
Unique sites:
K1 0.000 0.000 0.000 (multiplicity 1)
Mg1 0.000 0.500 0.500 (multiplicity 3)
Bi1 0.500 0.500 0.500 (multiplicity 1)

* magnetization: 0.00 Bohr magnetons per cell

Short version: version ii is the most stable of them.

Version i
Density functional theory data (PBE-GGA) for KMnBi2 after structural relaxation.

a b c (Å): 4.3687 4.3687 23.5293
angles (deg): 90.00 90.00 120.00
Space group R-3m (No. 166, hexagonal axes)
Unique sites:
K1 0.0000 0.0000 0.0000 (multiplicity 3)
Mn1 0.0000 0.0000 0.5000 (multiplicity 3)
Bi1 0.0000 0.0000 0.2208 (multiplicity 6)

* magnetization: 9.32 Bohr magnetons per cell

Version ii
Density functional theory data (PBE-GGA) for KMnBi2 after structural relaxation.

a b c (Å): 7.031 7.031 13.700
angles (deg): 90.00 90.00 90.00
Space group I4_1/amd (No. 141, origin choice 2)
Unique sites:
K1 0.000 0.250 0.375 (multiplicity 4)
Mn1 0.000 0.250 0.875 (multiplicity 4)
Bi1 0.000 0.000 0.000 (multiplicity 8)

* magnetization: 0.00 Bohr magnetons per cell

Short version: version i is the most stable of them.

Version i
Density functional theory data (PBE-GGA) for K2MnBi2 after structural relaxation.

a b c (Å): 10.524 10.524 3.262
angles (deg): 90.00 90.00 90.00
Space group P4/mbm (No. 127)
Unique sites:
K1 0.118 0.382 0.000 (multiplicity 4)
Mn1 0.000 0.000 0.000 (multiplicity 2)
Bi1 0.181 0.681 0.500 (multiplicity 4)

* magnetization: 9.13 Bohr magnetons per cell

Version ii
Density functional theory data (PBE-GGA) for K2MnBi2 after structural relaxation.

a b c (Å): 4.425 4.430 11.606
angles (deg): 89.69 89.23 60.10
Space group P-1 (No. 2)
Unique sites:
K1 0.177 0.168 0.177 (multiplicity 2)
Mn1 0.500 0.500 0.500 (multiplicity 1)
Bi1 0.163 0.166 0.609 (multiplicity 2)

* magnetization: 3.07 Bohr magnetons per cell

Version iii
Density functional theory data (PBE-GGA) for K2MnBi2 after structural relaxation.

a b c (Å): 7.590 7.590 5.952
angles (deg): 90.00 90.00 90.00
Space group P4/mbm (No. 127)
Unique sites:
K1 0.165 0.335 0.000 (multiplicity 4)
Mn1 0.000 0.000 0.500 (multiplicity 2)
Bi1 0.150 0.650 0.500 (multiplicity 4)

* magnetization: 8.77 Bohr magnetons per cell

Version iv
Density functional theory data (PBE-GGA) for K2MnBi2 after structural relaxation.

a b c (Å): 4.569 4.569 20.302
angles (deg): 90.00 90.00 90.00
Space group I4/mmm (No. 139)
Unique sites:
K1 0.000 0.000 0.104 (multiplicity 4)
Mn1 0.000 0.000 0.500 (multiplicity 2)
Bi1 0.000 0.500 0.250 (multiplicity 4)

* magnetization: 8.78 Bohr magnetons per cell

Short version: version iii is the most stable of them.